Entry from Alexandria via LeMat-Bulk: a geometry-optimized MgAgIr2 structure (PBE).

Output
- Raw total energy: -5.48 eV per atom
- Crystal system: monoclinic

a b c (Å): 4.8093 5.4350 2.7912
angles (deg): 76.36 87.28 115.48
With the nearest neighbours (Å) after each atom.
Positions (direct):
Ag 0.5000 0.5000 0.0000  4 Mg 2.72-2.84, 4 Ir 2.75, 2 Ag 2.79
Ir 0.0000 0.0000 0.0000  6 Ir 2.72-2.84, 2 Ag 2.75, 2 Mg 2.75
Mg 0.0000 0.5000 0.5000  4 Ag 2.72-2.84, 4 Ir 2.75, 2 Mg 2.79
Ir 0.5000 0.0000 0.5000  6 Ir 2.72-2.84, 2 Mg 2.75, 2 Ag 2.75